i) The following is a PBE calculation of crystalline KAl2Ru2 at its relaxed geometry, from the Alexandria database.

Lattice parameters (Å, degrees): 6.602 6.602 6.602 143.83 143.83 52.08
Atoms (fractional coordinates):
K (0.000, 0.000, 0.000)
Al (0.373, 0.373, 0.000)
Al (0.627, 0.627, 0.000)
Ru (0.250, 0.750, 0.500)
Ru (0.750, 0.250, 0.500)

Calculated values
As for the space group: I4/mmm, No. 139. For the calculated density, the calculation gives 4.920 Mg/m³.



ii) The following is a PBE calculation of crystalline KAl2Ru2 at its relaxed geometry, from the Alexandria database.

Lattice parameters (Å, degrees): 8.023 8.023 2.684 90.00 90.00 90.00
Atoms (fractional coordinates):
K (0.000, 0.000, 0.000)
K (0.500, 0.500, 0.000)
Al (0.151, 0.349, 0.000)
Al (0.349, 0.849, 0.000)
Al (0.651, 0.151, 0.000)
Al (0.849, 0.651, 0.000)
Ru (0.135, 0.635, 0.500)
Ru (0.365, 0.135, 0.500)
Ru (0.635, 0.865, 0.500)
Ru (0.865, 0.365, 0.500)

Calculated values
As for the space group: P4/mbm, No. 127. For the calculated density, the calculation gives 5.675 Mg/m³.



Verdict on stability: ii) comes out on top.



i) The following is a PBE calculation of crystalline KAlRu at its relaxed geometry, from the Alexandria database.

Lattice parameters (Å, degrees): 3.008 3.008 7.720 90.00 90.00 120.00
Atoms (fractional coordinates):
K (0.000, 0.000, 0.000)
Al (0.333, 0.667, 0.591)
Ru (0.667, 0.333, 0.357)

Calculated values
As for the space group: P3m1, No. 156. For the calculated density, the calculation gives 4.589 Mg/m³.



ii) The following is a PBE calculation of crystalline KAlRu at its relaxed geometry, from the Alexandria database.

Lattice parameters (Å, degrees): 5.052 5.052 2.701 90.00 90.00 120.00
Atoms (fractional coordinates):
K (0.000, 0.000, 0.000)
Al (0.333, 0.667, 0.500)
Ru (0.667, 0.333, 0.496)

Calculated values
As for the space group: P3m1, No. 156. For the calculated density, the calculation gives 4.650 Mg/m³.



Verdict on stability: i) comes out on top.



i) The following is a PBE calculation of crystalline KAlRu at its relaxed geometry, from the Alexandria database.

Lattice parameters (Å, degrees): 6.566 6.566 6.566 150.06 150.06 42.86
Atoms (fractional coordinates):
K (0.000, 0.000, 0.000)
Al (0.737, 0.737, 0.000)
Ru (0.274, 0.274, 0.000)

Calculated values
As for the space group: I4mm, No. 107. For the calculated density, the calculation gives 3.946 Mg/m³.



ii) The following is a PBE calculation of crystalline KAlRu at its relaxed geometry, from the Alexandria database.

Lattice parameters (Å, degrees): 4.922 4.922 4.922 60.00 60.00 60.00
Atoms (fractional coordinates):
K (0.000, 0.000, 0.000)
Al (0.250, 0.250, 0.250)
Ru (0.750, 0.750, 0.750)

Calculated values
As for the space group: F-43m, No. 216. For the calculated density, the calculation gives 3.292 Mg/m³.



Verdict on stability: i) comes out on top.



i) The following is a PBE calculation of crystalline KAl3Ru at its relaxed geometry, from the Alexandria database.

Lattice parameters (Å, degrees): 5.226 5.226 5.226 90.00 90.00 90.00
Atoms (fractional coordinates):
K (0.000, 0.000, 0.000)
Al (0.000, 0.000, 0.500)
Al (0.000, 0.500, 0.000)
Al (0.500, 0.000, 0.000)
Ru (0.500, 0.500, 0.500)

Calculated values
As for the space group: Pm-3m, No. 221. For the calculated density, the calculation gives 2.573 Mg/m³.



ii) The following is a PBE calculation of crystalline KAl3Ru at its relaxed geometry, from the Alexandria database.

Lattice parameters (Å, degrees): 4.831 4.831 4.831 90.00 90.00 90.00
Atoms (fractional coordinates):
K (0.000, 0.000, 0.000)
Al (0.000, 0.500, 0.500)
Al (0.500, 0.000, 0.500)
Al (0.500, 0.500, 0.000)
Ru (0.500, 0.500, 0.500)

Calculated values
As for the space group: Pm-3m, No. 221. For the calculated density, the calculation gives 3.257 Mg/m³.



Verdict on stability: ii) comes out on top.



i) The following is a PBE calculation of crystalline KAl3S at its relaxed geometry, from the Alexandria database.

Lattice parameters (Å, degrees): 5.149 5.149 5.149 90.00 90.00 90.00
Atoms (fractional coordinates):
K (0.000, 0.000, 0.000)
Al (0.000, 0.500, 0.500)
Al (0.500, 0.000, 0.500)
Al (0.500, 0.500, 0.000)
S (0.500, 0.500, 0.500)

Calculated values
As for the space group: Pm-3m, No. 221. For the calculated density, the calculation gives 1.850 Mg/m³.



ii) The following is a PBE calculation of crystalline KAl3S at its relaxed geometry, from the Alexandria database.

Lattice parameters (Å, degrees): 5.832 5.832 5.832 90.00 90.00 90.00
Atoms (fractional coordinates):
K (0.000, 0.000, 0.000)
Al (0.000, 0.000, 0.500)
Al (0.000, 0.500, 0.000)
Al (0.500, 0.000, 0.000)
S (0.500, 0.500, 0.500)

Calculated values
As for the space group: Pm-3m, No. 221. For the calculated density, the calculation gives 1.274 Mg/m³.



Verdict on stability: i) comes out on top.



i) The following is a PBE calculation of crystalline K2AlSb at its relaxed geometry, from the Alexandria database.

Lattice parameters (Å, degrees): 6.208 6.208 6.263 98.22 98.22 33.07
Atoms (fractional coordinates):
K (0.246, 0.246, 0.242)
K (0.754, 0.754, 0.758)
Al (0.000, 0.000, 0.500)
Sb (0.500, 0.500, 0.000)

Calculated values
As for the space group: C2/m, No. 12. For the calculated density, the calculation gives 2.893 Mg/m³.



ii) The following is a PBE calculation of crystalline K2AlSb at its relaxed geometry, from the Alexandria database.

Lattice parameters (Å, degrees): 6.576 6.576 3.227 90.00 90.00 115.58
Atoms (fractional coordinates):
K (0.000, 0.500, 0.000)
K (0.500, 0.000, 0.000)
Al (0.000, 0.000, 0.500)
Sb (0.500, 0.500, 0.500)

Calculated values
As for the space group: Cmmm, No. 65. For the calculated density, the calculation gives 2.994 Mg/m³.



Verdict on stability: ii) comes out on top.